Entry 1:
Entry from the Alexandria database: an optimized crystal structure of CaThN (PBE).

Values from the calculation:
E_form (uncorrected): -0.869 eV per atom
Excess energy over the best structure of this formula in the dataset: 0.0 meV/atom
SG: P4/nmm

a b c (Å): 3.542 3.542 12.598
angles (deg): 90.00 90.00 90.00
Positions (direct):
Ca: 0.250 0.250 0.122
Ca: 0.750 0.750 0.878
Th: 0.250 0.250 0.610
Th: 0.750 0.750 0.390
N: 0.250 0.250 0.424
N: 0.750 0.750 0.576

Entry 2:
Entry from the Alexandria database: an optimized crystal structure of CaThN2 (PBE).

Values from the calculation:
E_form (uncorrected): -1.429 eV per atom
SG: I4_1/amd

a b c (Å): 6.433 6.433 6.433
angles (deg): 134.00 134.00 67.09
Positions (direct):
Ca: 0.375 0.625 0.750
Ca: 0.625 0.375 0.250
Th: 0.125 0.875 0.250
Th: 0.875 0.125 0.750
N: 0.104 0.354 0.750
N: 0.354 0.104 0.250
N: 0.646 0.896 0.750
N: 0.896 0.646 0.250

Entry 3:
Entry from the Alexandria database: an optimized crystal structure of CaTh3N (PBE).

Values from the calculation:
E_form (uncorrected): -0.476 eV per atom
SG: Pm-3m

a b c (Å): 5.114 5.114 5.114
angles (deg): 90.00 90.00 90.00
Positions (direct):
Ca: 0.000 0.000 0.000
Th: 0.000 0.500 0.500
Th: 0.500 0.000 0.500
Th: 0.500 0.500 0.000
N: 0.500 0.500 0.500

Entry 4:
Entry from the Alexandria database: an optimized crystal structure of CaTh5N6 (PBE).

Values from the calculation:
E_form (uncorrected): -1.497 eV per atom
SG: C2/m

a b c (Å): 6.312 6.312 6.320
angles (deg): 99.57 99.57 120.02
Positions (direct):
Ca: 0.000 0.000 0.000
Th: 0.165 0.835 0.500
Th: 0.333 0.667 0.000
Th: 0.500 0.500 0.500
Th: 0.667 0.333 0.000
Th: 0.835 0.165 0.500
N: 0.085 0.424 0.254
N: 0.255 0.255 0.749
N: 0.424 0.085 0.254
N: 0.576 0.915 0.746
N: 0.745 0.745 0.251
N: 0.915 0.576 0.746

Entry 5:
Entry from the Alexandria database: an optimized crystal structure of Ca2ThN (PBE).

Values from the calculation:
E_form (uncorrected): -0.382 eV per atom
SG: R-3m

a b c (Å): 10.326 10.326 10.326
angles (deg): 19.47 19.47 19.47
Positions (direct):
Ca: 0.125 0.125 0.125
Ca: 0.875 0.875 0.875
Th: 0.000 0.000 0.000
N: 0.500 0.500 0.500

Entry 6:
Entry from the Alexandria database: an optimized crystal structure of CaTh2N4 (PBE).

Values from the calculation:
E_form (uncorrected): -1.025 eV per atom
SG: I-42d

a b c (Å): 6.532 6.532 6.532
angles (deg): 106.54 106.54 115.50
Positions (direct):
Ca: 0.000 0.000 0.000
Ca: 0.750 0.250 0.500
Th: 0.220 0.625 0.095
Th: 0.375 0.470 0.595
Th: 0.530 0.125 0.905
Th: 0.875 0.780 0.405
N: 0.115 0.237 0.729
N: 0.137 0.759 0.771
N: 0.241 0.013 0.378
N: 0.509 0.387 0.271
N: 0.613 0.885 0.122
N: 0.635 0.863 0.622
N: 0.763 0.491 0.878
N: 0.987 0.365 0.229

Entry 7:
Entry from the Alexandria database: an optimized crystal structure of CaThN (PBE).

Values from the calculation:
E_form (uncorrected): 0.314 eV per atom
Excess energy over the best structure of this formula in the dataset: 1182.9 meV/atom
SG: I4mm

a b c (Å): 5.476 5.476 5.476
angles (deg): 124.44 124.44 82.47
Positions (direct):
Ca: 0.000 0.000 0.000
Th: 0.501 0.501 0.000
N: 0.737 0.737 0.000

Entry 8:
Entry from the Alexandria database: an optimized crystal structure of CaThN2 (PBE).

Values from the calculation:
E_form (uncorrected): -1.252 eV per atom
SG: R3m

a b c (Å): 6.417 6.417 6.417
angles (deg): 32.88 32.88 32.88
Positions (direct):
Ca: 0.000 0.000 0.000
Th: 0.172 0.172 0.172
N: 0.581 0.581 0.581
N: 0.768 0.768 0.768

Entry 9:
Entry from the Alexandria database: an optimized crystal structure of Ca2ThTiN4 (PBE).

Values from the calculation:
E_form (uncorrected): -1.265 eV per atom
SG: P2/m

a b c (Å): 5.918 3.444 5.960
angles (deg): 90.00 108.94 90.00
Positions (direct):
Ca: 0.000 0.000 0.000
Ca: 0.500 0.500 0.000
Th: 0.000 0.500 0.500
Ti: 0.500 0.000 0.500
N: 0.273 0.000 0.713
N: 0.276 0.500 0.283
N: 0.724 0.500 0.717
N: 0.727 0.000 0.287

Entry 10:
Entry from the Alexandria database: an optimized crystal structure of Ca2ThUN4 (PBE).

Values from the calculation:
E_form (uncorrected): -1.333 eV per atom
SG: P2/m

a b c (Å): 6.094 3.579 6.223
angles (deg): 90.00 109.69 90.00
Positions (direct):
Ca: 0.000 0.000 0.000
Ca: 0.000 0.500 0.500
Th: 0.500 0.000 0.500
U: 0.500 0.500 0.000
N: 0.283 0.000 0.774
N: 0.284 0.500 0.237
N: 0.716 0.500 0.763
N: 0.717 0.000 0.226

Entry 11:
Entry from the Alexandria database: an optimized crystal structure of CaTh2UN4 (PBE).

Values from the calculation:
E_form (uncorrected): -1.369 eV per atom
SG: I-4m2

a b c (Å): 6.173 6.173 6.173
angles (deg): 131.62 131.62 70.82
Positions (direct):
Ca: 0.000 0.000 0.000
Th: 0.500 0.500 0.000
Th: 0.750 0.250 0.500
U: 0.250 0.750 0.500
N: 0.019 0.519 0.500
N: 0.251 0.251 0.000
N: 0.481 0.981 0.500
N: 0.749 0.749 0.000

Entry 12:
Entry from the Alexandria database: an optimized crystal structure of Ca3Th3UN8 (PBE).

Values from the calculation:
E_form (uncorrected): -1.392 eV per atom
SG: R-3m

a b c (Å): 7.105 7.105 7.105
angles (deg): 61.63 61.63 61.63
Positions (direct):
Ca: 0.000 0.500 0.500
Ca: 0.500 0.000 0.500
Ca: 0.500 0.500 0.000
Th: 0.000 0.000 0.500
Th: 0.000 0.500 0.000
Th: 0.500 0.000 0.000
U: 0.500 0.500 0.500
N: 0.243 0.243 0.243
N: 0.265 0.716 0.716
N: 0.284 0.284 0.735
N: 0.284 0.735 0.284
N: 0.716 0.265 0.716
N: 0.716 0.716 0.265
N: 0.735 0.284 0.284
N: 0.757 0.757 0.757

Entry 13:
Entry from the Alexandria database: an optimized crystal structure of Ca3ThU2N6 (PBE).

Values from the calculation:
E_form (uncorrected): -1.312 eV per atom
SG: C2/m

a b c (Å): 6.158 6.158 6.086
angles (deg): 99.73 99.73 120.01
Positions (direct):
Ca: 0.000 0.000 0.000
Ca: 0.332 0.668 0.000
Ca: 0.668 0.332 0.000
Th: 0.500 0.500 0.500
U: 0.167 0.833 0.500
U: 0.833 0.167 0.500
N: 0.076 0.429 0.286
N: 0.220 0.220 0.717
N: 0.429 0.076 0.286
N: 0.571 0.924 0.714
N: 0.780 0.780 0.283
N: 0.924 0.571 0.714

Entry 14:
Entry from the Alexandria database: an optimized crystal structure of CaTh2VN4 (PBE).

Values from the calculation:
E_form (uncorrected): -1.160 eV per atom
SG: Cmcm

a b c (Å): 6.267 6.267 12.344
angles (deg): 90.00 90.00 147.19
Positions (direct):
Ca: 0.108 0.892 0.750
Ca: 0.892 0.108 0.250
Th: 0.367 0.633 0.546
Th: 0.367 0.633 0.954
Th: 0.633 0.367 0.046
Th: 0.633 0.367 0.454
V: 0.171 0.829 0.250
V: 0.829 0.171 0.750
N: 0.000 0.000 0.000
N: 0.000 0.000 0.500
N: 0.266 0.734 0.130
N: 0.266 0.734 0.370
N: 0.405 0.595 0.750
N: 0.595 0.405 0.250
N: 0.734 0.266 0.630
N: 0.734 0.266 0.870

Entry 15:
Entry from the Alexandria database: an optimized crystal structure of CaThVN3 (PBE).

Values from the calculation:
E_form (uncorrected): -1.165 eV per atom
SG: P2_1/m

a b c (Å): 7.270 3.558 7.729
angles (deg): 90.00 94.45 90.00
Positions (direct):
Ca: 0.149 0.250 0.155
Ca: 0.851 0.750 0.845
Th: 0.376 0.750 0.819
Th: 0.624 0.250 0.181
V: 0.087 0.250 0.591
V: 0.913 0.750 0.409
N: 0.119 0.250 0.834
N: 0.161 0.750 0.524
N: 0.401 0.750 0.124
N: 0.599 0.250 0.876
N: 0.839 0.250 0.476
N: 0.881 0.750 0.166

Entry 16:
Entry from the Alexandria database: an optimized crystal structure of Ca3Th3WN8 (PBE).

Values from the calculation:
E_form (uncorrected): -1.204 eV per atom
SG: R-3m

a b c (Å): 7.013 7.013 7.013
angles (deg): 60.45 60.45 60.45
Positions (direct):
Ca: 0.000 0.500 0.500
Ca: 0.500 0.000 0.500
Ca: 0.500 0.500 0.000
Th: 0.000 0.000 0.500
Th: 0.000 0.500 0.000
Th: 0.500 0.000 0.000
W: 0.500 0.500 0.500
N: 0.244 0.244 0.244
N: 0.277 0.711 0.711
N: 0.289 0.289 0.723
N: 0.289 0.723 0.289
N: 0.711 0.277 0.711
N: 0.711 0.711 0.277
N: 0.723 0.289 0.289
N: 0.756 0.756 0.756

Entry 17:
Entry from the Alexandria database: an optimized crystal structure of CaThWN4 (PBE).

Values from the calculation:
E_form (uncorrected): -1.059 eV per atom
SG: Cmcm

a b c (Å): 6.923 6.923 5.503
angles (deg): 90.00 90.00 132.03
Positions (direct):
Ca: 0.105 0.895 0.750
Ca: 0.895 0.105 0.250
Th: 0.397 0.603 0.750
Th: 0.603 0.397 0.250
W: 0.233 0.767 0.250
W: 0.767 0.233 0.750
N: 0.000 0.500 0.000
N: 0.000 0.500 0.500
N: 0.084 0.916 0.250
N: 0.427 0.573 0.250
N: 0.500 0.000 0.000
N: 0.500 0.000 0.500
N: 0.573 0.427 0.750
N: 0.916 0.084 0.750

Entry 18:
Entry from the Alexandria database: an optimized crystal structure of CaTh2ZnN4 (PBE).

Values from the calculation:
E_form (uncorrected): -1.113 eV per atom
SG: Cmcm

a b c (Å): 6.301 6.301 12.070
angles (deg): 90.00 90.00 146.01
Positions (direct):
Ca: 0.083 0.917 0.750
Ca: 0.917 0.083 0.250
Th: 0.369 0.631 0.555
Th: 0.369 0.631 0.945
Th: 0.631 0.369 0.055
Th: 0.631 0.369 0.445
Zn: 0.176 0.824 0.250
Zn: 0.824 0.176 0.750
N: 0.000 0.000 0.000
N: 0.000 0.000 0.500
N: 0.257 0.743 0.107
N: 0.257 0.743 0.393
N: 0.436 0.564 0.750
N: 0.564 0.436 0.250
N: 0.743 0.257 0.607
N: 0.743 0.257 0.893

Entry 19:
Entry from the Alexandria database: an optimized crystal structure of CaTh2ZrN4 (PBE).

Values from the calculation:
E_form (uncorrected): -1.446 eV per atom
SG: I-4m2

a b c (Å): 6.115 6.115 6.115
angles (deg): 131.84 131.84 70.48
Positions (direct):
Ca: 0.000 0.000 0.000
Th: 0.500 0.500 0.000
Th: 0.750 0.250 0.500
Zr: 0.250 0.750 0.500
N: 0.012 0.512 0.500
N: 0.252 0.252 0.000
N: 0.488 0.988 0.500
N: 0.748 0.748 0.000

Entry 20:
Entry from the Alexandria database: an optimized crystal structure of Ca3ThZr2N6 (PBE).

Values from the calculation:
E_form (uncorrected): -1.437 eV per atom
SG: C2/m

a b c (Å): 5.981 5.981 6.017
angles (deg): 99.49 99.49 120.03
Positions (direct):
Ca: 0.000 0.000 0.000
Ca: 0.329 0.671 0.000
Ca: 0.671 0.329 0.000
Th: 0.500 0.500 0.500
Zr: 0.166 0.834 0.500
Zr: 0.834 0.166 0.500
N: 0.078 0.428 0.283
N: 0.223 0.223 0.719
N: 0.428 0.078 0.283
N: 0.572 0.922 0.717
N: 0.777 0.777 0.281
N: 0.922 0.572 0.717